# PBE Pr3As2N, relaxed
data_Pr3As2N
_space_group_name_H-M_alt 'P -3 m 1'
_space_group_IT_number 164
_space_group_name_Hall '-P 3 2"'
_cell_length_a 4.0487
_cell_length_b 4.0487
_cell_length_c 10.2333
_cell_angle_alpha 90.00
_cell_angle_beta 90.00
_cell_angle_gamma 120.00
loop_
_atom_site_label
_atom_site_type_symbol
_atom_site_fract_x
_atom_site_fract_y
_atom_site_fract_z
Pr1 Pr 0.0000 0.0000 0.0000
Pr2 Pr 0.3333 0.6667 0.3628
As1 As 0.3333 0.6667 0.8201
N1 N 0.0000 0.0000 0.5000
# - uncorrected energy (eV per atom) = -6.615
# - calculated density (Mg/m³) = 6.70

=====

# PBE Pr4As3N4, relaxed
data_Pr4As3N4
_space_group_name_H-M_alt 'A m m 2'
_space_group_IT_number 38
_space_group_name_Hall 'A 2 -2'
_cell_length_a 8.817
_cell_length_b 4.178
_cell_length_c 12.784
_cell_angle_alpha 90.00
_cell_angle_beta 90.00
_cell_angle_gamma 90.00
loop_
_atom_site_label
_atom_site_type_symbol
_atom_site_fract_x
_atom_site_fract_y
_atom_site_fract_z
Pr1 Pr 0.000 0.000 0.000
Pr2 Pr 0.239 0.000 0.331
Pr3 Pr 0.500 0.000 0.985
As1 As 0.271 0.000 0.616
As2 As 0.500 0.000 0.712
N1 N 0.000 0.000 0.414
N2 N 0.245 0.000 0.918
N3 N 0.500 0.000 0.382
# - uncorrected energy (eV per atom) = -6.666
# - calculated density (Mg/m³) = 5.95

=====

# PBE Pr3As3W2N12, relaxed
data_Pr3As3W2N12
_space_group_name_H-M_alt 'I a -3 d'
_space_group_IT_number 230
_space_group_name_Hall '-I 4bd 2c 3'
_cell_length_a 12.680
_cell_length_b 12.680
_cell_length_c 12.680
_cell_angle_alpha 90.00
_cell_angle_beta 90.00
_cell_angle_gamma 90.00
loop_
_atom_site_label
_atom_site_type_symbol
_atom_site_fract_x
_atom_site_fract_y
_atom_site_fract_z
Pr1 Pr 0.000 0.250 0.125
As1 As 0.000 0.250 0.375
W1 W 0.000 0.000 0.000
N1 N 0.037 0.050 0.648
# - uncorrected energy (eV per atom) = -8.102
# - calculated density (Mg/m³) = 7.71

=====

# PBE Pu3AsN3, relaxed
data_Pu3AsN3
_space_group_name_H-M_alt 'R -3'
_space_group_IT_number 148
_space_group_name_Hall '-R 3'
_cell_length_a 6.5700
_cell_length_b 6.5700
_cell_length_c 20.2472
_cell_angle_alpha 90.00
_cell_angle_beta 90.00
_cell_angle_gamma 120.00
loop_
_atom_site_label
_atom_site_type_symbol
_atom_site_fract_x
_atom_site_fract_y
_atom_site_fract_z
Pu1 Pu 0.0023 0.6569 0.4013
As1 As 0.0000 0.0000 0.1664
N1 N 0.0054 0.6802 0.6243
# - uncorrected energy (eV per atom) = -11.505
# - calculated density (Mg/m³) = 11.18

=====

# PBE ReAs3N, relaxed
data_ReAs3N
_space_group_name_H-M_alt 'P m -3 m'
_space_group_IT_number 221
_space_group_name_Hall '-P 4 2 3'
_cell_length_a 4.188
_cell_length_b 4.188
_cell_length_c 4.188
_cell_angle_alpha 90.00
_cell_angle_beta 90.00
_cell_angle_gamma 90.00
loop_
_atom_site_label
_atom_site_type_symbol
_atom_site_fract_x
_atom_site_fract_y
_atom_site_fract_z
Re1 Re 0.000 0.000 0.000
As1 As 0.000 0.500 0.500
N1 N 0.500 0.500 0.500
# - uncorrected energy (eV per atom) = -5.872
# - calculated density (Mg/m³) = 9.60

=====

# PBE Ta4AsSN2, relaxed
data_Ta4AsSN2
_space_group_name_H-M_alt 'P -6 m 2'
_space_group_IT_number 187
_space_group_name_Hall 'P -6 2'
_cell_length_a 3.1351
_cell_length_b 3.1351
_cell_length_c 12.6031
_cell_angle_alpha 90.00
_cell_angle_beta 90.00
_cell_angle_gamma 120.00
loop_
_atom_site_label
_atom_site_type_symbol
_atom_site_fract_x
_atom_site_fract_y
_atom_site_fract_z
Ta1 Ta 0.0000 0.0000 0.1410
Ta2 Ta 0.3333 0.6667 0.3475
As1 As 0.0000 0.0000 0.5000
S1 S 0.3333 0.6667 0.0000
N1 N 0.6667 0.3333 0.2446
# - uncorrected energy (eV per atom) = -9.709
# - calculated density (Mg/m³) = 13.29

=====

# PBE Ta4AsSN2, relaxed
data_Ta4AsSN2
_space_group_name_H-M_alt 'P -6 m 2'
_space_group_IT_number 187
_space_group_name_Hall 'P -6 2'
_cell_length_a 3.1351
_cell_length_b 3.1351
_cell_length_c 12.6029
_cell_angle_alpha 90.00
_cell_angle_beta 90.00
_cell_angle_gamma 120.00
loop_
_atom_site_label
_atom_site_type_symbol
_atom_site_fract_x
_atom_site_fract_y
_atom_site_fract_z
Ta1 Ta 0.0000 0.0000 0.1410
Ta2 Ta 0.6667 0.3333 0.3475
As1 As 0.0000 0.0000 0.5000
S1 S 0.6667 0.3333 0.0000
N1 N 0.3333 0.6667 0.2446
# - uncorrected energy (eV per atom) = -9.709
# - calculated density (Mg/m³) = 13.29

=====

# PBE AsW4SN2, relaxed
data_AsW4SN2
_space_group_name_H-M_alt 'P -6 m 2'
_space_group_IT_number 187
_space_group_name_Hall 'P -6 2'
_cell_length_a 2.9542
_cell_length_b 2.9542
_cell_length_c 13.3867
_cell_angle_alpha 90.00
_cell_angle_beta 90.00
_cell_angle_gamma 120.00
loop_
_atom_site_label
_atom_site_type_symbol
_atom_site_fract_x
_atom_site_fract_y
_atom_site_fract_z
As1 As 0.0000 0.0000 0.0000
W1 W 0.0000 0.0000 0.3620
W2 W 0.3333 0.6667 0.1502
S1 S 0.3333 0.6667 0.5000
N1 N 0.6667 0.3333 0.2553
# - uncorrected energy (eV per atom) = -9.386
# - calculated density (Mg/m³) = 14.28

=====

# PBE Zr4AsSN2, relaxed
data_Zr4AsSN2
_space_group_name_H-M_alt 'P -6 m 2'
_space_group_IT_number 187
_space_group_name_Hall 'P -6 2'
_cell_length_a 3.4224
_cell_length_b 3.4224
_cell_length_c 12.2256
_cell_angle_alpha 90.00
_cell_angle_beta 90.00
_cell_angle_gamma 120.00
loop_
_atom_site_label
_atom_site_type_symbol
_atom_site_fract_x
_atom_site_fract_y
_atom_site_fract_z
Zr1 Zr 0.0000 0.0000 0.1479
Zr2 Zr 0.6667 0.3333 0.3434
As1 As 0.0000 0.0000 0.5000
S1 S 0.6667 0.3333 0.0000
N1 N 0.3333 0.6667 0.2461
# - uncorrected energy (eV per atom) = -8.930
# - calculated density (Mg/m³) = 6.69

=====

# PBE Zr4AsSN2, relaxed
data_Zr4AsSN2
_space_group_name_H-M_alt 'P -6 m 2'
_space_group_IT_number 187
_space_group_name_Hall 'P -6 2'
_cell_length_a 3.4224
_cell_length_b 3.4224
_cell_length_c 12.2256
_cell_angle_alpha 90.00
_cell_angle_beta 90.00
_cell_angle_gamma 120.00
loop_
_atom_site_label
_atom_site_type_symbol
_atom_site_fract_x
_atom_site_fract_y
_atom_site_fract_z
Zr1 Zr 0.0000 0.0000 0.1479
Zr2 Zr 0.3333 0.6667 0.3434
As1 As 0.0000 0.0000 0.5000
S1 S 0.3333 0.6667 0.0000
N1 N 0.6667 0.3333 0.2461
# - uncorrected energy (eV per atom) = -8.930
# - calculated density (Mg/m³) = 6.69

=====

# PBE Ta4SbAsN2, relaxed
data_Ta4SbAsN2
_space_group_name_H-M_alt 'P -6 m 2'
_space_group_IT_number 187
_space_group_name_Hall 'P -6 2'
_cell_length_a 3.3327
_cell_length_b 3.3327
_cell_length_c 12.4170
_cell_angle_alpha 90.00
_cell_angle_beta 90.00
_cell_angle_gamma 120.00
loop_
_atom_site_label
_atom_site_type_symbol
_atom_site_fract_x
_atom_site_fract_y
_atom_site_fract_z
Ta1 Ta 0.0000 0.0000 0.1489
Ta2 Ta 0.3333 0.6667 0.3225
Sb1 Sb 0.0000 0.0000 0.5000
As1 As 0.3333 0.6667 0.0000
N1 N 0.6667 0.3333 0.2409
# - uncorrected energy (eV per atom) = -9.557
# - calculated density (Mg/m³) = 13.19

=====

# PBE SbAsW4N2, relaxed
data_SbAsW4N2
_space_group_name_H-M_alt 'P -6 m 2'
_space_group_IT_number 187
_space_group_name_Hall 'P -6 2'
_cell_length_a 3.0489
_cell_length_b 3.0489
_cell_length_c 13.6626
_cell_angle_alpha 90.00
_cell_angle_beta 90.00
_cell_angle_gamma 120.00
loop_
_atom_site_label
_atom_site_type_symbol
_atom_site_fract_x
_atom_site_fract_y
_atom_site_fract_z
Sb1 Sb 0.0000 0.0000 0.0000
As1 As 0.3333 0.6667 0.5000
W1 W 0.0000 0.0000 0.3559
W2 W 0.3333 0.6667 0.1635
N1 N 0.6667 0.3333 0.2584
# - uncorrected energy (eV per atom) = -9.225
# - calculated density (Mg/m³) = 14.49